DFT (PBE) results for a relaxed Y3Ga2Ag4 crystal.

abc: 5.8416 5.8416 8.7930
angles: 113.21 113.21 46.52
Fractional coordinates of all 9 atoms:
Y (0.0000, 0.0000, 0.0000)
Y (0.3423, 0.3423, 0.3262)
Y (0.6577, 0.6577, 0.6738)
Ga (0.3766, 0.3766, 0.7073)
Ga (0.6234, 0.6234, 0.2927)
Ag (0.0756, 0.0756, 0.4021)
Ag (0.2873, 0.2873, 0.9427)
Ag (0.7127, 0.7127, 0.0573)
Ag (0.9244, 0.9244, 0.5979)

=====

DFT (PBE) results for a relaxed NdY5Th2 crystal.

Calculated values
ΔE to the lowest computed polymorph in kJ per mole of atoms: 0.0

abc: 3.5458 11.2703 13.3516
angles: 90.00 90.00 90.00
Fractional coordinates of all 16 atoms:
Nd (0.0000, 0.0000, 0.0000)
Nd (0.5000, 0.5000, 0.5000)
Y (0.0000, 0.2302, 0.3684)
Y (0.0000, 0.2302, 0.6316)
Y (0.0000, 0.5000, 0.0000)
Y (0.0000, 0.7698, 0.3684)
Y (0.0000, 0.7698, 0.6316)
Y (0.5000, 0.0000, 0.5000)
Y (0.5000, 0.2698, 0.1316)
Y (0.5000, 0.2698, 0.8684)
Y (0.5000, 0.7302, 0.1316)
Y (0.5000, 0.7302, 0.8684)
Th (0.0000, 0.5000, 0.2610)
Th (0.0000, 0.5000, 0.7390)
Th (0.5000, 0.0000, 0.2390)
Th (0.5000, 0.0000, 0.7610)

=====

DFT (PBE) results for a relaxed SrMg2RuPb crystal.

abc: 5.0910 5.0910 5.2439
angles: 90.00 90.00 90.00
Fractional coordinates of all 5 atoms:
Sr (0.0000, 0.0000, 0.0000)
Mg (0.0000, 0.5000, 0.5000)
Mg (0.5000, 0.0000, 0.5000)
Ru (0.5000, 0.5000, 0.5000)
Pb (0.5000, 0.5000, 0.0000)

=====

DFT (PBE) results for a relaxed Ca3Ga4Ag4 crystal.

Calculated values
ΔE to the lowest computed polymorph in kJ per mole of atoms: 2.6

abc: 3.6023 4.6025 14.7647
angles: 81.44 83.05 89.95
Fractional coordinates of all 11 atoms:
Ca (0.0000, 0.0000, 0.0000)
Ca (0.1429, 0.6397, 0.7137)
Ca (0.8571, 0.3603, 0.2863)
Ga (0.2613, 0.2637, 0.4802)
Ga (0.4052, 0.9085, 0.1892)
Ga (0.5948, 0.0915, 0.8108)
Ga (0.7387, 0.7363, 0.5198)
Ag (0.3129, 0.8173, 0.3746)
Ag (0.4504, 0.4517, 0.0988)
Ag (0.5496, 0.5483, 0.9012)
Ag (0.6871, 0.1827, 0.6254)

=====

| no. | E_form (eV/atom) | D(E_F) (states/eV per atom) | electronic total energy (eV per cell) |
| --- | --- | --- | --- |
| 1 | -0.41 | 0.709 | -40.5 |
| 2 | 0.09 | 1.658 | -102.3 |
| 3 | -0.08 | 0.600 | -18.3 |
| 4 | -0.32 | 0.513 | -33.1 |